# 1
First-principles (GGA-PBE) data for a geometry-optimized La2MgIn5 structure, as listed in the Alexandria database.

Cell and atoms, written as CIF:
```
data_La2MgIn5
_chemical_formula_sum 'La4 Mg2 In10'
_symmetry_space_group_name_H-M 'I 4 m m'
_symmetry_Int_Tables_number 107
_symmetry_space_group_name_Hall 'I 4 -2'
_cell_length_a 6.775
_cell_length_b 6.775
_cell_length_c 9.444
_cell_angle_alpha 90.00
_cell_angle_beta 90.00
_cell_angle_gamma 90.00
loop_
_atom_site_label
_atom_site_type_symbol
_atom_site_fract_x
_atom_site_fract_y
_atom_site_fract_z
La1 La 0.000 0.500 0.000
Mg1 Mg 0.000 0.000 0.001
In1 In 0.000 0.000 0.499
In2 In 0.250 0.250 0.250
```

## Properties
calculated volume	27.1	Å³/atom
formation energy from the elements	-341	kJ/mol of formula units
total moment	0.000	μB/f.u.
N(E_F)	0.6265	states/eV per atom
DFT total energy	-57.342	eV per cell
mass density	6713	kg/m3

=====

# 2
First-principles (GGA-PBE) data for a geometry-optimized Cu2BI structure, as listed in the Alexandria database.

Cell and atoms, written as CIF:
```
data_Cu2BI
_chemical_formula_sum 'Cu8 B4 I4'
_symmetry_space_group_name_H-M 'I -4 2 d'
_symmetry_Int_Tables_number 122
_symmetry_space_group_name_Hall 'I -4 2bw'
_cell_length_a 5.906
_cell_length_b 5.906
_cell_length_c 8.484
_cell_angle_alpha 90.00
_cell_angle_beta 90.00
_cell_angle_gamma 90.00
loop_
_atom_site_label
_atom_site_type_symbol
_atom_site_fract_x
_atom_site_fract_y
_atom_site_fract_z
Cu1 Cu 0.154 0.250 0.125
B1 B 0.000 0.000 0.000
I1 I 0.000 0.000 0.500
```

## Properties
raw formation energy	0.7025	eV/atom
calculated volume	18.5	Å³/atom
total moment	0.000	μB/f.u.
N(E_F)	0.2347	states/eV per atom
DFT total energy	-54.440	eV per cell
mass density	5944	kg/m3